A geometry-optimized Pm8Si3AgI4 structure. Source: Alexandria, functional PBE.

```
Pm8Si3AgI4
1.0
8.637 0.000 0.000
0.000 9.065 0.300
-4.318 -4.317 6.109
I Pm Ag Si
4 8 1 3
Direct
0.000 0.000 0.500
0.500 0.000 0.000
0.000 0.000 0.000
0.500 0.000 0.500
0.759 0.295 0.518
0.724 0.705 0.964
0.732 0.697 0.465
0.241 0.705 0.964
0.268 0.303 0.535
0.759 0.295 0.036
0.276 0.295 0.036
0.241 0.705 0.482
0.000 0.500 0.000
0.000 0.500 0.500
0.500 0.500 0.500
0.500 0.500 0.000
```

Calculated values
Formation energy without anion corrections, eV/atom: -0.82
Uncorrected energy, eV for the cell shown: -76.42
Theoretical density, g/cm³: 6.3